Crystalline Y5CS5 at its relaxed geometry. Source: the Alexandria database, functional GGA-PBE.

Unit cell a=5.460 b=6.740 c=7.680 alpha=106.88 beta=90.00 gamma=113.89
Fractional coordinates of all 11 atoms:
S (0.331, 0.662, 0.164)
Y (0.851, 0.701, 0.161)
S (0.676, 0.351, 0.331)
C (0.000, 0.000, 0.000)
S (0.324, 0.649, 0.669)
Y (0.154, 0.309, 0.314)
Y (0.846, 0.691, 0.686)
Y (0.500, 0.000, 0.000)
S (0.000, 0.000, 0.500)
Y (0.149, 0.299, 0.839)
S (0.669, 0.338, 0.836)

Computed properties:
formation energy without anion corrections: -1798.6 meV/atom
space-group type: C2/m, No. 12

---

Crystalline Y6CS5 at its relaxed geometry. Source: the Alexandria database, functional GGA-PBE.

Unit cell a=6.715 b=6.715 c=6.735 alpha=99.53 beta=99.53 gamma=120.00
Fractional coordinates of all 12 atoms:
C (0.000, 0.000, 0.000)
S (0.334, 0.666, 0.000)
S (0.172, 0.828, 0.500)
S (0.500, 0.500, 0.500)
S (0.666, 0.334, 0.000)
Y (0.771, 0.771, 0.231)
Y (0.076, 0.383, 0.229)
Y (0.924, 0.617, 0.771)
Y (0.229, 0.229, 0.769)
S (0.828, 0.172, 0.500)
Y (0.383, 0.076, 0.229)
Y (0.617, 0.924, 0.771)

Computed properties:
formation energy without anion corrections: -1799.2 meV/atom
space-group type: C2/m, No. 12

---

Crystalline Y6CS2 at its relaxed geometry. Source: the Alexandria database, functional GGA-PBE.

Unit cell a=3.760 b=7.599 c=8.322 alpha=101.96 beta=103.06 gamma=90.00
Fractional coordinates of all 9 atoms:
C (0.500, 0.000, 0.000)
Y (0.656, 0.067, 0.312)
Y (0.660, 0.581, 0.321)
S (0.831, 0.671, 0.663)
Y (0.997, 0.221, 0.994)
Y (0.340, 0.419, 0.679)
Y (0.003, 0.779, 0.006)
Y (0.344, 0.933, 0.688)
S (0.169, 0.329, 0.337)

Computed properties:
formation energy without anion corrections: -971.5 meV/atom
space-group type: C2/m, No. 12

---

Crystalline YC3S at its relaxed geometry. Source: the Alexandria database, functional GGA-PBE.

Unit cell a=3.787 b=3.787 c=3.787 alpha=90.00 beta=90.00 gamma=90.00
Fractional coordinates of all 5 atoms:
C (0.500, 0.000, 0.000)
Y (0.500, 0.500, 0.500)
S (0.000, 0.000, 0.000)
C (0.000, 0.500, 0.000)
C (0.000, 0.000, 0.500)

Computed properties:
formation energy without anion corrections: 1640.6 meV/atom
space-group type: Pm-3m, No. 221
E above lowest polymorph: 0 meV/atom

---

Crystalline Y2CS at its relaxed geometry. Source: the Alexandria database, functional GGA-PBE.

Unit cell a=6.587 b=6.587 c=6.140 alpha=57.57 beta=57.57 gamma=90.00
Fractional coordinates of all 8 atoms:
C (0.250, 0.750, 0.500)
C (0.500, 0.500, 0.000)
S (0.750, 0.250, 0.500)
S (0.000, 0.000, 0.000)
Y (0.875, 0.822, 0.750)
Y (0.178, 0.625, 0.250)
Y (0.572, 0.125, 0.250)
Y (0.375, 0.428, 0.750)

Computed properties:
formation energy without anion corrections: -958.3 meV/atom
space-group type: I-42d, No. 122

---

Crystalline Y2CS at its relaxed geometry. Source: the Alexandria database, functional GGA-PBE.

Unit cell a=3.726 b=3.726 c=6.719 alpha=73.90 beta=73.90 gamma=60.00
Fractional coordinates of all 4 atoms:
Y (0.263, 0.263, 0.212)
S (0.500, 0.500, 0.500)
C (0.000, 0.000, 0.000)
Y (0.737, 0.737, 0.788)

Computed properties:
formation energy without anion corrections: -1289.4 meV/atom
space-group type: R-3m, No. 166

---

Crystalline Y2CS at its relaxed geometry. Source: the Alexandria database, functional GGA-PBE.

Unit cell a=4.641 b=4.641 c=4.641 alpha=60.00 beta=60.00 gamma=60.00
Fractional coordinates of all 4 atoms:
Y (0.750, 0.750, 0.750)
S (0.500, 0.500, 0.500)
Y (0.250, 0.250, 0.250)
C (0.000, 0.000, 0.000)

Computed properties:
formation energy without anion corrections: -440.6 meV/atom
space-group type: Fm-3m, No. 225

---

Crystalline Y3CS at its relaxed geometry. Source: the Alexandria database, functional GGA-PBE.

Unit cell a=3.598 b=9.514 c=6.828 alpha=90.00 beta=90.00 gamma=81.95
Fractional coordinates of all 10 atoms:
Y (0.828, 0.807, 0.522)
Y (0.172, 0.193, 0.478)
C (0.660, 0.264, 0.250)
S (0.723, 0.068, 0.750)
Y (0.602, 0.503, 0.750)
S (0.277, 0.932, 0.250)
Y (0.398, 0.497, 0.250)
Y (0.828, 0.807, 0.978)
C (0.340, 0.736, 0.750)
Y (0.172, 0.193, 0.022)

Computed properties:
formation energy without anion corrections: -774.1 meV/atom
space-group type: P2_1/m, No. 11
E above lowest polymorph: 0 meV/atom

---

Crystalline Y7CS5 at its relaxed geometry. Source: the Alexandria database, functional GGA-PBE.

Unit cell a=3.758 b=6.692 c=23.493 alpha=89.99 beta=90.00 gamma=106.33
Fractional coordinates of all 26 atoms:
C (0.823, 0.647, 0.284)
S (0.449, 0.899, 0.853)
Y (0.796, 0.592, 0.678)
Y (0.073, 0.146, 0.604)
S (0.438, 0.877, 0.645)
Y (0.096, 0.192, 0.879)
Y (0.444, 0.889, 0.250)
Y (0.354, 0.709, 0.538)
Y (0.927, 0.855, 0.104)
Y (0.203, 0.406, 0.317)
S (0.273, 0.546, 0.426)
Y (0.646, 0.292, 0.038)
S (0.728, 0.455, 0.926)
Y (0.556, 0.112, 0.750)
Y (0.369, 0.737, 0.961)
Y (0.632, 0.264, 0.461)
Y (0.798, 0.595, 0.817)
S (0.551, 0.103, 0.353)
Y (0.905, 0.809, 0.380)
S (0.990, 0.979, 0.495)
S (0.715, 0.430, 0.570)
C (0.177, 0.354, 0.784)
S (0.285, 0.571, 0.070)
Y (0.205, 0.409, 0.178)
S (0.562, 0.124, 0.145)
S (0.011, 0.022, 0.995)

Computed properties:
formation energy without anion corrections: -1522.0 meV/atom
space-group type: Cmc2_1, No. 36

---

Crystalline Y3CS at its relaxed geometry. Source: the Alexandria database, functional GGA-PBE.

Unit cell a=4.836 b=4.836 c=4.836 alpha=90.00 beta=90.00 gamma=90.00
Fractional coordinates of all 5 atoms:
S (0.500, 0.500, 0.500)
Y (0.500, 0.000, 0.000)
Y (0.000, 0.500, 0.000)
Y (0.000, 0.000, 0.500)
C (0.000, 0.000, 0.000)

Computed properties:
formation energy without anion corrections: -405.2 meV/atom
space-group type: Pm-3m, No. 221
E above lowest polymorph: 369 meV/atom

---

Crystalline Y4C2S at its relaxed geometry. Source: the Alexandria database, functional GGA-PBE.

Unit cell a=3.691 b=6.350 c=12.369 alpha=90.00 beta=90.00 gamma=106.90
Fractional coordinates of all 14 atoms:
Y (0.237, 0.474, 0.610)
C (0.864, 0.728, 0.562)
C (0.136, 0.272, 0.438)
Y (0.763, 0.526, 0.110)
S (0.392, 0.783, 0.250)
Y (0.500, 0.000, 0.500)
Y (0.237, 0.474, 0.890)
Y (0.062, 0.124, 0.250)
C (0.136, 0.272, 0.062)
Y (0.938, 0.876, 0.750)
S (0.608, 0.217, 0.750)
Y (0.763, 0.526, 0.390)
C (0.864, 0.728, 0.938)
Y (0.500, 0.000, 0.000)

Computed properties:
formation energy without anion corrections: -770.8 meV/atom
space-group type: Cmcm, No. 63

---

Crystalline Y2CS at its relaxed geometry. Source: the Alexandria database, functional GGA-PBE.

Unit cell a=3.688 b=3.688 c=6.886 alpha=74.47 beta=74.47 gamma=60.00
Fractional coordinates of all 4 atoms:
Y (0.264, 0.264, 0.207)
Y (0.069, 0.069, 0.792)
S (0.499, 0.499, 0.504)
C (0.668, 0.668, 0.997)

Computed properties:
formation energy without anion corrections: -1208.0 meV/atom
space-group type: R3m, No. 160